The following is a PBE calculation of a geometry-optimized TbYHo5 structure, from Alexandria.

space group = C2/c (15)
total DFT energy (no corrections) = -4.665 eV per atom
energy relative to the elements = 190 meV/atom

Unit cell a=6.7159 b=6.7159 c=12.1359 alpha=107.23 beta=107.23 gamma=59.94
Sites, in units of the cell vectors:
Tb  0.0273  0.9727  0.7500
Tb  0.9727  0.0273  0.2500
Y  0.0000  0.5000  0.0000
Y  0.5000  0.0000  0.5000
Ho  0.1421  0.4186  0.7526
Ho  0.1883  0.6546  0.4994
Ho  0.3454  0.8117  0.0006
Ho  0.4158  0.5842  0.2500
Ho  0.4186  0.1421  0.2526
Ho  0.5814  0.8579  0.7474
Ho  0.5842  0.4158  0.7500
Ho  0.6546  0.1883  0.9994
Ho  0.8117  0.3454  0.5006
Ho  0.8579  0.5814  0.2474


The following is a PBE calculation of a geometry-optimized Tb2Y3Ho3 structure, from Alexandria.

space group = Immm (71)
total DFT energy (no corrections) = -5.276 eV per atom
energy relative to the elements = 23 meV/atom

Unit cell a=5.0210 b=5.0219 c=20.0967 alpha=90.00 beta=90.00 gamma=90.00
Sites, in units of the cell vectors:
Tb  0.0000  0.0000  0.2499
Tb  0.0000  0.0000  0.7501
Tb  0.5000  0.5000  0.2501
Tb  0.5000  0.5000  0.7499
Y  0.0000  0.0000  0.0000
Y  0.0000  0.5000  0.1250
Y  0.0000  0.5000  0.8750
Y  0.5000  0.0000  0.3750
Y  0.5000  0.0000  0.6250
Y  0.5000  0.5000  0.5000
Ho  0.0000  0.0000  0.5000
Ho  0.0000  0.5000  0.3749
Ho  0.0000  0.5000  0.6251
Ho  0.5000  0.0000  0.1251
Ho  0.5000  0.0000  0.8749
Ho  0.5000  0.5000  0.0000


The following is a PBE calculation of a geometry-optimized Tb7Y3Ho structure, from Alexandria.

space group = C2/m (12)
total DFT energy (no corrections) = -4.859 eV per atom
energy relative to the elements = 266 meV/atom

Unit cell a=8.4313 b=8.4313 c=5.8088 alpha=110.08 beta=110.08 gamma=82.78
Sites, in units of the cell vectors:
Tb  0.0000  0.0000  0.0000
Tb  0.0979  0.5085  0.3035
Tb  0.2892  0.2892  0.7912
Tb  0.4915  0.9021  0.6965
Tb  0.5085  0.0979  0.3035
Tb  0.7108  0.7108  0.2088
Tb  0.9021  0.4915  0.6965
Y  0.2943  0.7057  0.0000
Y  0.5000  0.5000  0.5000
Y  0.7057  0.2943  0.0000
Ho  0.0000  0.0000  0.5000


The following is a PBE calculation of a geometry-optimized TbY5Ho4 structure, from Alexandria.

space group = I4 (79)
total DFT energy (no corrections) = -5.217 eV per atom
energy relative to the elements = 309 meV/atom

Unit cell a=7.8696 b=7.8696 c=7.8696 alpha=99.18 beta=99.18 gamma=132.90
Sites, in units of the cell vectors:
Tb  0.0000  0.0000  0.0000
Y  0.4568  0.4568  0.0000
Y  0.4976  0.8775  0.9128
Y  0.5849  0.4976  0.6201
Y  0.8775  0.9648  0.3799
Y  0.9648  0.5849  0.0872
Ho  0.1814  0.8813  0.6017
Ho  0.2796  0.5797  0.3983
Ho  0.5797  0.1814  0.3001
Ho  0.8813  0.2796  0.6999


The following is a PBE calculation of a geometry-optimized Tb3Y4Ho4 structure, from Alexandria.

space group = Immm (71)
total DFT energy (no corrections) = -5.143 eV per atom
energy relative to the elements = 135 meV/atom

Unit cell a=12.0034 b=12.0034 c=12.0034 alpha=162.94 beta=134.65 gamma=48.79
Sites, in units of the cell vectors:
Tb  0.0000  0.0000  0.0000
Tb  0.3902  0.8902  0.5000
Tb  0.6098  0.1098  0.5000
Y  0.2568  0.2568  0.0000
Y  0.3169  0.5000  0.8169
Y  0.6831  0.5000  0.1831
Y  0.7432  0.7432  0.0000
Ho  0.0366  0.3577  0.6789
Ho  0.3212  0.6423  0.6789
Ho  0.6788  0.3577  0.3211
Ho  0.9634  0.6423  0.3211


The following is a PBE calculation of a geometry-optimized TbY5Ho3 structure, from Alexandria.

space group = C2/c (15)
total DFT energy (no corrections) = -5.413 eV per atom
energy relative to the elements = 219 meV/atom

Unit cell a=8.7163 b=8.7163 c=11.7313 alpha=106.99 beta=106.99 gamma=45.05
Sites, in units of the cell vectors:
Tb  0.1891  0.8109  0.7500
Tb  0.8109  0.1891  0.2500
Y  0.0235  0.4096  0.7655
Y  0.2619  0.3718  0.5509
Y  0.3029  0.6971  0.2500
Y  0.3718  0.2619  0.0509
Y  0.4096  0.0235  0.2655
Y  0.5904  0.9765  0.7345
Y  0.6282  0.7381  0.9491
Y  0.6971  0.3029  0.7500
Y  0.7381  0.6282  0.4491
Y  0.9765  0.5904  0.2345
Ho  0.0543  0.1604  0.0124
Ho  0.1604  0.0543  0.5124
Ho  0.5000  0.5000  0.0000
Ho  0.5000  0.5000  0.5000
Ho  0.8396  0.9457  0.4876
Ho  0.9457  0.8396  0.9876


The following is a PBE calculation of a geometry-optimized TbY3Ho4 structure, from Alexandria.

space group = C2/m (12)
total DFT energy (no corrections) = -5.121 eV per atom
energy relative to the elements = 171 meV/atom

Unit cell a=23.4342 b=3.4719 c=6.6457 alpha=90.00 beta=106.45 gamma=90.00
Sites, in units of the cell vectors:
Tb  0.0000  0.0000  0.0000
Tb  0.5000  0.5000  0.0000
Y  0.0000  0.5000  0.5000
Y  0.1257  0.5000  0.8812
Y  0.3743  0.0000  0.1188
Y  0.5000  0.0000  0.5000
Y  0.6257  0.0000  0.8812
Y  0.8743  0.5000  0.1188
Ho  0.1248  0.5000  0.3681
Ho  0.2394  0.0000  0.2431
Ho  0.2606  0.5000  0.7569
Ho  0.3752  0.0000  0.6319
Ho  0.6248  0.0000  0.3681
Ho  0.7394  0.5000  0.2431
Ho  0.7606  0.0000  0.7569
Ho  0.8752  0.5000  0.6319


The following is a PBE calculation of a geometry-optimized Tb4Y9Ho11 structure, from Alexandria.

space group = Cmmm (65)
total DFT energy (no corrections) = -5.249 eV per atom
energy relative to the elements = 45 meV/atom

Unit cell a=15.0603 b=15.0603 c=3.6641 alpha=90.00 beta=90.00 gamma=112.85
Sites, in units of the cell vectors:
Tb  0.0537  0.2553  0.0000
Tb  0.2553  0.0537  0.0000
Tb  0.7447  0.9463  0.0000
Tb  0.9463  0.7447  0.0000
Y  0.0000  0.0000  0.0000
Y  0.1321  0.6630  0.0000
Y  0.2859  0.4317  0.0000
Y  0.3370  0.8679  0.0000
Y  0.4317  0.2859  0.0000
Y  0.5683  0.7141  0.0000
Y  0.6630  0.1321  0.0000
Y  0.7141  0.5683  0.0000
Y  0.8679  0.3370  0.0000
Ho  0.0926  0.4544  0.5000
Ho  0.1332  0.8668  0.5000
Ho  0.2080  0.2080  0.5000
Ho  0.3408  0.6592  0.5000
Ho  0.4544  0.0926  0.5000
Ho  0.5000  0.5000  0.5000
Ho  0.5456  0.9074  0.5000
Ho  0.6592  0.3408  0.5000
Ho  0.7920  0.7920  0.5000
Ho  0.8668  0.1332  0.5000
Ho  0.9074  0.5456  0.5000


Which of these has the highest total DFT energy (no corrections)?
TbYHo5


Which value of total DFT energy (no corrections) does entry 6 give?
-5.413 eV per atom


Which of these has the lowest total DFT energy (no corrections)?
TbY5Ho3


The lowest total DFT energy (no corrections) belongs to which entry?
TbY5Ho3